[1]
First-principles (GGA-PBE) data for Tl2AgHgBr5 after structural relaxation, as listed in Alexandria via LeMat-Bulk.

Geometry as CIF:
```
data_Tl2AgHgBr5
_cell_length_a 4.398
_cell_length_b 19.625
_cell_length_c 13.825
_cell_angle_alpha 90.00
_cell_angle_beta 90.00
_cell_angle_gamma 90.00
_space_group_name_H-M_alt 'C m c 21'
_space_group_IT_number 36
_space_group_name_Hall 'C 2c -2'
loop_
_atom_site_label
_atom_site_fract_x
_atom_site_fract_y
_atom_site_fract_z
_atom_site_occupancy
Tl1 0.000 0.115 0.000 1
Tl2 0.000 0.129 0.614 1
Ag1 0.000 0.445 0.739 1
Hg1 0.000 0.215 0.326 1
Br1 0.000 0.073 0.349 1
Br2 0.000 0.283 0.969 1
Br3 0.000 0.301 0.684 1
Br4 0.000 0.354 0.314 1
Br5 0.000 0.494 0.071 1
```

## Properties
- Volume: 33.1 Å³ per atom
- Density: 6.217 Mg/m³
- Magnetic moment: 0.00 μB per formula unit
- ΔE_f (raw): -57.4 kJ per mole of atoms


[2]
First-principles (GGA-PBE) data for Tl2AgHgBr after structural relaxation, as listed in Alexandria via LeMat-Bulk.

Geometry as CIF:
```
data_Tl2AgHgBr
_cell_length_a 5.689
_cell_length_b 5.689
_cell_length_c 5.355
_cell_angle_alpha 90.00
_cell_angle_beta 90.00
_cell_angle_gamma 90.00
_space_group_name_H-M_alt 'P 4/m m m'
_space_group_IT_number 123
_space_group_name_Hall '-P 4 2'
loop_
_atom_site_label
_atom_site_fract_x
_atom_site_fract_y
_atom_site_fract_z
_atom_site_occupancy
Tl1 0.000 0.500 0.000 1
Ag1 0.000 0.000 0.000 1
Hg1 0.000 0.000 0.500 1
Br1 0.500 0.500 0.500 1
```

## Properties
- Volume: 34.7 Å³ per atom
- Density: 7.637 Mg/m³
- Magnetic moment: 0.00 μB per formula unit
- ΔE_f (raw): -14.1 kJ per mole of atoms


[3]
First-principles (GGA-PBE) data for Tl2AgHgBr8 after structural relaxation, as listed in Alexandria via LeMat-Bulk.

Geometry as CIF:
```
data_Tl2AgHgBr8
_cell_length_a 9.275
_cell_length_b 9.275
_cell_length_c 10.047
_cell_angle_alpha 90.00
_cell_angle_beta 90.00
_cell_angle_gamma 90.00
_space_group_name_H-M_alt 'I -4 m 2'
_space_group_IT_number 119
_space_group_name_Hall 'I -4 -2'
loop_
_atom_site_label
_atom_site_fract_x
_atom_site_fract_y
_atom_site_fract_z
_atom_site_occupancy
Tl1 0.000 0.000 0.000 1
Tl2 0.000 0.500 0.250 1
Ag1 0.000 0.500 0.750 1
Hg1 0.000 0.000 0.500 1
Br1 0.000 0.208 0.814 1
Br2 0.000 0.288 0.453 1
```

## Properties
- Volume: 36.0 Å³ per atom
- Density: 5.212 Mg/m³
- Magnetic moment: 0.00 μB per formula unit
- ΔE_f (raw): -35.4 kJ per mole of atoms


[4]
First-principles (GGA-PBE) data for UAgHgBr6 after structural relaxation, as listed in Alexandria via LeMat-Bulk.

Geometry as CIF:
```
data_UAgHgBr6
_cell_length_a 6.9975
_cell_length_b 6.9975
_cell_length_c 18.5397
_cell_angle_alpha 90.00
_cell_angle_beta 90.00
_cell_angle_gamma 120.00
_space_group_name_H-M_alt 'P -3 1 c'
_space_group_IT_number 163
_space_group_name_Hall '-P 3 2c'
loop_
_atom_site_label
_atom_site_fract_x
_atom_site_fract_y
_atom_site_fract_z
_atom_site_occupancy
U1 0.3333 0.6667 0.2500 1
Ag1 0.3333 0.6667 0.7500 1
Hg1 0.0000 0.0000 0.0000 1
Br1 0.0208 0.3546 0.1632 1
```

## Properties
- Volume: 43.7 Å³ per atom
- Density: 4.334 Mg/m³
- Magnetic moment: 1.00 μB per formula unit
- ΔE_f (raw): -85.6 kJ per mole of atoms


[5]
First-principles (GGA-PBE) data for VAgHgBr6 after structural relaxation, as listed in Alexandria via LeMat-Bulk.

Geometry as CIF:
```
data_VAgHgBr6
_cell_length_a 6.207
_cell_length_b 6.908
_cell_length_c 6.916
_cell_angle_alpha 119.68
_cell_angle_beta 90.34
_cell_angle_gamma 90.87
_space_group_name_H-M_alt 'P 1'
_space_group_IT_number 1
_space_group_name_Hall 'P 1'
loop_
_atom_site_label
_atom_site_fract_x
_atom_site_fract_y
_atom_site_fract_z
_atom_site_occupancy
V1 0.000 0.000 0.000 1
Ag1 0.000 0.333 0.668 1
Hg1 0.499 0.666 0.336 1
Br1 0.235 0.696 0.997 1
Br2 0.238 0.010 0.707 1
Br3 0.242 0.299 0.311 1
Br4 0.758 0.690 0.703 1
Br5 0.764 0.004 0.306 1
Br6 0.764 0.293 0.993 1
```

## Properties
- Volume: 28.6 Å³ per atom
- Density: 5.408 Mg/m³
- Magnetic moment: 1.99 μB per formula unit
- ΔE_f (raw): -49.8 kJ per mole of atoms


[6]
First-principles (GGA-PBE) data for ZnAg2HgBr after structural relaxation, as listed in Alexandria via LeMat-Bulk.

Geometry as CIF:
```
data_ZnAg2HgBr
_cell_length_a 5.240
_cell_length_b 5.240
_cell_length_c 7.222
_cell_angle_alpha 90.00
_cell_angle_beta 90.00
_cell_angle_gamma 90.00
_space_group_name_H-M_alt 'P 4/m m m'
_space_group_IT_number 123
_space_group_name_Hall '-P 4 2'
loop_
_atom_site_label
_atom_site_fract_x
_atom_site_fract_y
_atom_site_fract_z
_atom_site_occupancy
Zn1 0.000 0.000 0.000 1
Ag1 0.000 0.500 0.500 1
Hg1 0.500 0.500 0.000 1
Br1 0.500 0.500 0.500 1
```

## Properties
- Volume: 39.7 Å³ per atom
- Density: 4.703 Mg/m³
- Magnetic moment: 0.00 μB per formula unit
- ΔE_f (raw): 45.8 kJ per mole of atoms


[7]
First-principles (GGA-PBE) data for HoAgBr4 after structural relaxation, as listed in Alexandria via LeMat-Bulk.

Geometry as CIF:
```
data_HoAgBr4
_cell_length_a 15.483
_cell_length_b 4.129
_cell_length_c 7.378
_cell_angle_alpha 90.00
_cell_angle_beta 115.65
_cell_angle_gamma 90.00
_space_group_name_H-M_alt 'C 1 2/m 1'
_space_group_IT_number 12
_space_group_name_Hall '-C 2y'
loop_
_atom_site_label
_atom_site_fract_x
_atom_site_fract_y
_atom_site_fract_z
_atom_site_occupancy
Ho1 0.000 0.000 0.000 1
Ag1 0.000 0.500 0.500 1
Br1 0.103 0.000 0.416 1
Br2 0.121 0.500 0.981 1
```

## Properties
- Volume: 35.4 Å³ per atom
- Density: 4.628 Mg/m³
- Magnetic moment: 0.00 μB per formula unit
- ΔE_f (raw): -129.3 kJ per mole of atoms


[8]
First-principles (GGA-PBE) data for HoAg2Br6 after structural relaxation, as listed in Alexandria via LeMat-Bulk.

Geometry as CIF:
```
data_HoAg2Br6
_cell_length_a 14.358
_cell_length_b 13.521
_cell_length_c 7.155
_cell_angle_alpha 90.00
_cell_angle_beta 105.72
_cell_angle_gamma 90.00
_space_group_name_H-M_alt 'C 1 2/c 1'
_space_group_IT_number 15
_space_group_name_Hall '-C 2yc'
loop_
_atom_site_label
_atom_site_fract_x
_atom_site_fract_y
_atom_site_fract_z
_atom_site_occupancy
Ho1 0.000 0.081 0.250 1
Ag1 0.086 0.403 0.146 1
Br1 0.114 0.066 0.635 1
Br2 0.114 0.419 0.541 1
Br3 0.128 0.217 0.164 1
```

## Properties
- Volume: 37.1 Å³ per atom
- Density: 4.273 Mg/m³
- Magnetic moment: 0.00 μB per formula unit
- ΔE_f (raw): -90.1 kJ per mole of atoms


[9]
First-principles (GGA-PBE) data for HoAgBr4 after structural relaxation, as listed in Alexandria via LeMat-Bulk.

Geometry as CIF:
```
data_HoAgBr4
_cell_length_a 21.816
_cell_length_b 5.687
_cell_length_c 8.233
_cell_angle_alpha 90.00
_cell_angle_beta 106.55
_cell_angle_gamma 90.00
_space_group_name_H-M_alt 'C 1 2/m 1'
_space_group_IT_number 12
_space_group_name_Hall '-C 2y'
loop_
_atom_site_label
_atom_site_fract_x
_atom_site_fract_y
_atom_site_fract_z
_atom_site_occupancy
Ho1 0.180 0.000 0.076 1
Ag1 0.174 0.000 0.514 1
Br1 0.083 0.000 0.206 1
Br2 0.109 0.000 0.749 1
Br3 0.203 0.500 0.063 1
Br4 0.222 0.500 0.617 1
```

## Properties
- Volume: 40.8 Å³ per atom
- Density: 4.018 Mg/m³
- Magnetic moment: 0.00 μB per formula unit
- ΔE_f (raw): -124.1 kJ per mole of atoms


[10]
First-principles (GGA-PBE) data for HoAgBr after structural relaxation, as listed in Alexandria via LeMat-Bulk.

Geometry as CIF:
```
data_HoAgBr
_cell_length_a 10.346
_cell_length_b 3.439
_cell_length_c 9.421
_cell_angle_alpha 90.00
_cell_angle_beta 101.84
_cell_angle_gamma 90.00
_space_group_name_H-M_alt 'C 1 2/m 1'
_space_group_IT_number 12
_space_group_name_Hall '-C 2y'
loop_
_atom_site_label
_atom_site_fract_x
_atom_site_fract_y
_atom_site_fract_z
_atom_site_occupancy
Ho1 0.235 0.000 0.317 1
Ag1 0.139 0.000 0.999 1
Br1 0.040 0.000 0.685 1
```

## Properties
- Volume: 27.3 Å³ per atom
- Density: 7.141 Mg/m³
- Magnetic moment: 0.00 μB per formula unit
- ΔE_f (raw): -41.7 kJ per mole of atoms


[11]
First-principles (GGA-PBE) data for HoAg3Br6 after structural relaxation, as listed in Alexandria via LeMat-Bulk.

Geometry as CIF:
```
data_HoAg3Br6
_cell_length_a 7.355
_cell_length_b 7.592
_cell_length_c 7.703
_cell_angle_alpha 90.78
_cell_angle_beta 116.14
_cell_angle_gamma 117.75
_space_group_name_H-M_alt 'P -1'
_space_group_IT_number 2
_space_group_name_Hall '-P 1'
loop_
_atom_site_label
_atom_site_fract_x
_atom_site_fract_y
_atom_site_fract_z
_atom_site_occupancy
Ho1 0.000 0.000 0.000 1
Ag1 0.000 0.500 0.500 1
Ag2 0.500 0.000 0.000 1
Ag3 0.500 0.000 0.500 1
Br1 0.061 0.860 0.701 1
Br2 0.097 0.719 0.205 1
Br3 0.481 0.311 0.217 1
```

## Properties
- Volume: 32.9 Å³ per atom
- Density: 4.892 Mg/m³
- Magnetic moment: 0.00 μB per formula unit
- ΔE_f (raw): -85.8 kJ per mole of atoms


[12]
First-principles (GGA-PBE) data for HoAg3Br6 after structural relaxation, as listed in Alexandria via LeMat-Bulk.

Geometry as CIF:
```
data_HoAg3Br6
_cell_length_a 7.308
_cell_length_b 7.192
_cell_length_c 13.179
_cell_angle_alpha 90.00
_cell_angle_beta 121.99
_cell_angle_gamma 90.00
_space_group_name_H-M_alt 'P 1 21/c 1'
_space_group_IT_number 14
_space_group_name_Hall '-P 2ybc'
loop_
_atom_site_label
_atom_site_fract_x
_atom_site_fract_y
_atom_site_fract_z
_atom_site_occupancy
Ho1 0.000 0.000 0.000 1
Ag1 0.282 0.021 0.758 1
Ag2 0.500 0.000 0.500 1
Br1 0.070 0.174 0.413 1
Br2 0.278 0.673 0.442 1
Br3 0.346 0.107 0.231 1
```

## Properties
- Volume: 29.4 Å³ per atom
- Density: 5.471 Mg/m³
- Magnetic moment: 0.00 μB per formula unit
- ΔE_f (raw): -87.0 kJ per mole of atoms